VASP calculation (meta-GGA SCAN) on ZrAgTe at its PBEsol-relaxed geometry.

Lattice parameters (Å, degrees): 6.592 6.592 6.592 90.00 90.00 90.00
Space group F-43m (No. 216)
Unique sites:
Zr (0.000, 0.000, 0.000)
Ag (0.000, 0.000, 0.500)
Te (0.250, 0.250, 0.250)

Total DFT energy (no corrections) (eV/f.u.): -99.03
Crystal system: cubic
Total moment (Bohr magnetons per cell): 0.00
Excess energy over the best structure of this formula in the dataset (meV/atom): 185
ΔE_f (raw) (eV/atom): 0.0955